[1]
Density functional theory data (PBE) for a relaxed YCoMo2 crystal.

a = 4.7961 Å, b = 3.1957 Å, c = 4.7384 Å
α = 79.23°, β = 90.00°, γ = 90.00°
Last column: nearest neighbours and their distance in Å.
Atoms (fractional coordinates):
Co: 0.5000 0.7500 0.7500  2 Y 2.60, 4 Mo 2.70
Mo: 0.0000 0.9207 0.9669  3 Mo 2.50-2.70, 2 Co 2.70
Mo: 0.0000 0.5793 0.5331  3 Mo 2.50-2.70, 2 Co 2.70
Y: 0.5000 0.2500 0.2500  2 Co 2.60

Values from the calculation:
- SG: No. 10
- Energy of formation: 0.45 eV per atom
- Energy relative to the lowest polymorph listed for this composition: 255 meV/atom



[2]
Density functional theory data (PBE) for a relaxed ZrNi2SeBr crystal.

a = 4.2253 Å, b = 6.0795 Å, c = 4.2253 Å
α = 90.00°, β = 90.00°, γ = 90.00°
Last column: nearest neighbours and their distance in Å.
Atoms (fractional coordinates):
Ni: 0.0000 0.0000 0.5000  2 Se 2.11
Ni: 0.5000 0.0000 0.0000  2 Se 2.11
Se: 0.0000 0.0000 0.0000  4 Ni 2.11
Br: 0.0000 0.5000 0.0000  4 Zr 2.99, 2 Se 3.04
Zr: 0.5000 0.5000 0.5000  4 Br 2.99

Values from the calculation:
- Raw formation energy: 234 kJ/mol of formula units
- SG: No. 123



[3]
Density functional theory data (PBE) for a relaxed LaHPdRh2 crystal.

a = 4.2097 Å, b = 4.2097 Å, c = 4.1927 Å
α = 90.00°, β = 90.00°, γ = 90.00°
Last column: nearest neighbours and their distance in Å.
Atoms (fractional coordinates):
H: 0.0000 0.0000 0.0000  2 Pd 2.10, 4 Rh 2.10
Rh: 0.0000 0.5000 0.0000  2 H 2.10
Rh: 0.5000 0.0000 0.0000  2 H 2.10
Pd: 0.0000 0.0000 0.5000  2 H 2.10
La: 0.5000 0.5000 0.5000  8 Rh 2.97, 4 Pd 2.98

Values from the calculation:
- SG: No. 123
- Calculated total energy: -6.084 eV/atom



[4]
Density functional theory data (PBE) for a relaxed KLa2TlRu crystal.

a = 5.5018 Å, b = 5.5018 Å, c = 5.5965 Å
α = 90.00°, β = 90.00°, γ = 90.00°
Last column: nearest neighbours and their distance in Å.
Atoms (fractional coordinates):
Ru: 0.0000 0.0000 0.0000  4 La 2.75, 2 Tl 2.80
Tl: 0.0000 0.0000 0.5000  2 Ru 2.80
K: 0.5000 0.5000 0.5000  4 Tl 3.89, 8 La 3.92
La: 0.0000 0.5000 0.0000  2 Ru 2.75
La: 0.5000 0.0000 0.0000  2 Ru 2.75

Values from the calculation:
- SG: No. 123
- Energy of formation: -0.09 eV per atom



[5]
Density functional theory data (PBE) for a relaxed NaSbMoRu2 crystal.

a = 4.6499 Å, b = 5.1207 Å, c = 4.6499 Å
α = 90.00°, β = 90.00°, γ = 90.00°
Last column: nearest neighbours and their distance in Å.
Atoms (fractional coordinates):
Sb: 0.5000 0.5000 0.5000  4 Na 3.29, 8 Ru 3.46
Mo: 0.0000 0.0000 0.0000  4 Ru 2.32, 2 Na 2.56
Na: 0.0000 0.5000 0.0000  2 Mo 2.56
Ru: 0.0000 0.0000 0.5000  2 Mo 2.32
Ru: 0.5000 0.0000 0.0000  2 Mo 2.32

Values from the calculation:
- Raw formation energy: 636 kJ/mol of formula units
- SG: No. 123



[6]
Density functional theory data (PBE) for a relaxed SrYOs2 crystal.

a = 4.2814 Å, b = 4.5806 Å, c = 5.8279 Å
α = 66.79°, β = 90.00°, γ = 90.00°
Last column: nearest neighbours and their distance in Å.
Atoms (fractional coordinates):
Os: 0.0000 0.1833 0.0093  2 Os 2.38
Os: 0.5000 0.0856 0.2033  2 Os 2.38
Sr: 0.0000 0.4747 0.4251  7 Os 3.13-3.35
Y: 0.5000 0.7565 0.8623  6 Os 2.93-3.23

Values from the calculation:
- SG: No. 6
- Energy of formation: 0.14 eV per atom
- Energy relative to the lowest polymorph listed for this composition: 0 meV/atom



Which density belongs to each record? In order, 7.91, 5.62, 10.10, 6.10, 6.64, 8.80 Mg/m³.